First-principles (PBE-GGA) data for a relaxed NaHf2TcBr crystal, as listed in Alexandria.

The structure in CIF format:
```
data_NaHf2TcBr
_cell_length_a 4.9164
_cell_length_b 4.9164
_cell_length_c 5.8858
_cell_angle_alpha 90.00
_cell_angle_beta 90.00
_cell_angle_gamma 90.00
_symmetry_space_group_name_H-M 'P 4/m m m'
_symmetry_Int_Tables_number 123
_symmetry_space_group_name_Hall '-P 4 2'
loop_
_atom_site_label
_atom_site_fract_x
_atom_site_fract_y
_atom_site_fract_z
Na1 0.0000 0.0000 0.0000
Hf1 0.0000 0.5000 0.5000
Tc1 0.5000 0.5000 0.5000
Br1 0.5000 0.5000 0.0000
```

Uncorrected formation energy (eV/atom): 0.544
Total magnetic moment (μB per cell): 0.00